Compound: Na3InB
Source: Alexandria
Functional: GGA-PBE
Structure: optimized geometry

## Properties
Total DFT energy (no corrections), eV per atom: -1.981
Mass density, kg/m3: 2333
Magnetization, μB/f.u.: 1.035
Calculated formation energy, eV per atom: 0.693
Crystal system: cubic

extended XYZ file:
```
5
Lattice="5.1743 0.0000 0.0000 0.0000 5.1743 0.0000 0.0000 0.0000 5.1743" Properties=species:S:1:pos:R:3 pbc="T T T"
Na 0.0000 0.0000 2.5872
Na 0.0000 2.5872 0.0000
Na 2.5872 0.0000 0.0000
In 2.5872 2.5872 2.5872
B 0.0000 0.0000 0.0000
```